# POsW2, single point on PBEsol structure, DFT meta-GGA SCAN
data_POsW2
_symmetry_space_group_name_H-M 'I m m 2'
_symmetry_Int_Tables_number 44
_cell_length_a 2.895
_cell_length_b 4.371
_cell_length_c 8.930
_cell_angle_alpha 90.00
_cell_angle_beta 90.00
_cell_angle_gamma 90.00
loop_
_symmetry_equiv_pos_as_xyz
'x,y,z'
'-x,-y,z'
'-x,y,z'
'x,-y,z'
'x+1/2,y+1/2,z+1/2'
'-x+1/2,-y+1/2,z+1/2'
'-x+1/2,y+1/2,z+1/2'
'x+1/2,-y+1/2,z+1/2'
loop_
_atom_site_label
_atom_site_type_symbol
_atom_site_fract_x
_atom_site_fract_y
_atom_site_fract_z
P1 P 0.000 0.000 0.000
Os1 Os 0.000 0.500 0.711
W1 W 0.000 0.000 0.483
W2 W 0.000 0.500 0.280
# M_tot = 0.0 μB per formula unit
# ΔH_f (0 K) = 0.01 eV/atom
# D(E_F) = 0.542 states/eV per atom

# Li2CaV12O32, single point on PBEsol structure, DFT meta-GGA SCAN
data_Li2CaV12O32
_symmetry_space_group_name_H-M 'C 1 m 1'
_symmetry_Int_Tables_number 8
_cell_length_a 13.924
_cell_length_b 7.114
_cell_length_c 12.021
_cell_angle_alpha 90.00
_cell_angle_beta 107.79
_cell_angle_gamma 90.00
loop_
_symmetry_equiv_pos_as_xyz
'x,y,z'
'x,-y,z'
'x+1/2,y+1/2,z'
'x+1/2,-y+1/2,z'
loop_
_atom_site_label
_atom_site_type_symbol
_atom_site_fract_x
_atom_site_fract_y
_atom_site_fract_z
Li1 Li 0.000 0.229 0.000
Ca1 Ca 0.497 0.000 0.646
V1 V 0.148 0.500 0.229
V2 V 0.150 0.000 0.230
V3 V 0.177 0.249 0.860
V4 V 0.202 0.000 0.499
V5 V 0.212 0.500 0.504
V6 V 0.290 0.250 0.122
V7 V 0.319 0.000 0.774
V8 V 0.323 0.500 0.774
V9 V 0.347 0.248 0.392
O1 O 0.045 0.500 0.121
O2 O 0.048 0.000 0.118
O3 O 0.065 0.252 0.767
O4 O 0.108 0.000 0.353
O5 O 0.115 0.500 0.358
O6 O 0.133 0.000 0.582
O7 O 0.139 0.500 0.586
O8 O 0.157 0.249 0.995
O9 O 0.191 0.250 0.240
O10 O 0.218 0.500 0.859
O11 O 0.220 0.000 0.861
O12 O 0.241 0.249 0.484
O13 O 0.255 0.500 0.139
O14 O 0.257 0.000 0.139
O15 O 0.279 0.250 0.774
O16 O 0.301 0.000 0.376
O17 O 0.310 0.500 0.387
O18 O 0.331 0.000 0.634
O19 O 0.336 0.500 0.637
O20 O 0.359 0.252 0.036
O21 O 0.385 0.251 0.266
O22 O 0.434 0.500 0.871
O23 O 0.435 0.000 0.859
O24 O 0.449 0.228 0.499
# Uncorrected formation energy = -2.556 eV/atom
# M_tot = 0.0 μB per formula unit
# D(E_F) = 0.000 states/eV per atom

# LaInPCl2, single point on PBEsol structure, DFT meta-GGA SCAN
data_LaInPCl2
_symmetry_space_group_name_H-M 'P 4/m m m'
_symmetry_Int_Tables_number 123
_symmetry_space_group_name_Hall '-P 4 2'
_cell_length_a 5.441
_cell_length_b 5.441
_cell_length_c 5.561
_cell_angle_alpha 90.00
_cell_angle_beta 90.00
_cell_angle_gamma 90.00
loop_
_atom_site_label
_atom_site_type_symbol
_atom_site_fract_x
_atom_site_fract_y
_atom_site_fract_z
La1 La 0.000 0.000 0.000
In1 In 0.500 0.500 0.500
P1 P 0.000 0.000 0.500
Cl1 Cl 0.000 0.500 0.000
# Uncorrected formation energy = -1.092 eV/atom
# M_tot = 0.5 μB per formula unit
# D(E_F) = 0.471 states/eV per atom

# Be3Fe4, single point on PBEsol structure, DFT meta-GGA SCAN
data_Be3Fe4
_symmetry_space_group_name_H-M 'P 6/m m m'
_symmetry_Int_Tables_number 191
_symmetry_space_group_name_Hall '-P 6 2'
_cell_length_a 4.1173
_cell_length_b 4.1173
_cell_length_c 4.2538
_cell_angle_alpha 90.00
_cell_angle_beta 90.00
_cell_angle_gamma 120.00
loop_
_atom_site_label
_atom_site_type_symbol
_atom_site_fract_x
_atom_site_fract_y
_atom_site_fract_z
Be1 Be 0.0000 0.5000 0.0000
Fe1 Fe 0.0000 0.0000 0.2523
Fe2 Fe 0.3333 0.6667 0.5000
# M_tot = 9.0 μB per formula unit
# ΔH_f (0 K) = -0.05 eV/atom
# D(E_F) = 0.621 states/eV per atom

# Zr2SnC, single point on PBEsol structure, DFT meta-GGA SCAN
data_Zr2SnC
_symmetry_space_group_name_H-M 'P 63/m m c'
_symmetry_Int_Tables_number 194
_symmetry_space_group_name_Hall '-P 6c 2c'
_cell_length_a 3.3423
_cell_length_b 3.3423
_cell_length_c 14.5641
_cell_angle_alpha 90.00
_cell_angle_beta 90.00
_cell_angle_gamma 120.00
loop_
_atom_site_label
_atom_site_type_symbol
_atom_site_fract_x
_atom_site_fract_y
_atom_site_fract_z
Zr1 Zr 0.3333 0.6667 0.0852
Sn1 Sn 0.3333 0.6667 0.7500
C1 C 0.0000 0.0000 0.0000
# M_tot = 0.0 μB per formula unit
# ΔH_f (0 K) = -0.90 eV/atom
# D(E_F) = 0.293 states/eV per atom

# BaTaBr2, single point on PBEsol structure, DFT meta-GGA SCAN
data_BaTaBr2
_symmetry_space_group_name_H-M 'C 1 2/m 1'
_symmetry_Int_Tables_number 12
_cell_length_a 8.386
_cell_length_b 3.434
_cell_length_c 6.840
_cell_angle_alpha 90.00
_cell_angle_beta 101.28
_cell_angle_gamma 90.00
loop_
_symmetry_equiv_pos_as_xyz
'x,y,z'
'-x,-y,-z'
'-x,y,-z'
'x,-y,z'
'x+1/2,y+1/2,z'
'-x+1/2,-y+1/2,-z'
'-x+1/2,y+1/2,-z'
'x+1/2,-y+1/2,z'
loop_
_atom_site_label
_atom_site_type_symbol
_atom_site_fract_x
_atom_site_fract_y
_atom_site_fract_z
Ba1 Ba 0.000 0.000 0.000
Ta1 Ta 0.000 0.500 0.500
Br1 Br 0.233 0.000 0.685
# Uncorrected formation energy = -0.155 eV/atom
# M_tot = 0.0 μB per formula unit
# D(E_F) = 0.595 states/eV per atom
# Energy relative to the lowest polymorph listed for this composition = 0.000 eV/atom

# HfSiW3, single point on PBEsol structure, DFT meta-GGA SCAN
data_HfSiW3
_symmetry_space_group_name_H-M 'P m -3 m'
_symmetry_Int_Tables_number 221
_symmetry_space_group_name_Hall '-P 4 2 3'
_cell_length_a 4.715
_cell_length_b 4.715
_cell_length_c 4.715
_cell_angle_alpha 90.00
_cell_angle_beta 90.00
_cell_angle_gamma 90.00
loop_
_atom_site_label
_atom_site_type_symbol
_atom_site_fract_x
_atom_site_fract_y
_atom_site_fract_z
Hf1 Hf 0.000 0.000 0.000
Si1 Si 0.500 0.500 0.500
W1 W 0.000 0.000 0.500
# Uncorrected formation energy = 2.861 eV/atom
# M_tot = 0.0 μB per formula unit
# D(E_F) = 0.894 states/eV per atom
# Energy relative to the lowest polymorph listed for this composition = 1.869 eV/atom

# Ca2YGeW, single point on PBEsol structure, DFT meta-GGA SCAN
data_Ca2YGeW
_symmetry_space_group_name_H-M 'P 4/m m m'
_symmetry_Int_Tables_number 123
_symmetry_space_group_name_Hall '-P 4 2'
_cell_length_a 5.402
_cell_length_b 5.402
_cell_length_c 5.204
_cell_angle_alpha 90.00
_cell_angle_beta 90.00
_cell_angle_gamma 90.00
loop_
_atom_site_label
_atom_site_type_symbol
_atom_site_fract_x
_atom_site_fract_y
_atom_site_fract_z
Ca1 Ca 0.000 0.500 0.000
Y1 Y 0.000 0.000 0.500
Ge1 Ge 0.500 0.500 0.500
W1 W 0.000 0.000 0.000
# M_tot = 0.0 μB per formula unit
# ΔH_f (0 K) = 0.96 eV/atom
# D(E_F) = 1.035 states/eV per atom

# LaBeIn2, single point on PBEsol structure, DFT meta-GGA SCAN
data_LaBeIn2
_symmetry_space_group_name_H-M 'P 4/m m m'
_symmetry_Int_Tables_number 123
_symmetry_space_group_name_Hall '-P 4 2'
_cell_length_a 3.429
_cell_length_b 3.429
_cell_length_c 7.554
_cell_angle_alpha 90.00
_cell_angle_beta 90.00
_cell_angle_gamma 90.00
loop_
_atom_site_label
_atom_site_type_symbol
_atom_site_fract_x
_atom_site_fract_y
_atom_site_fract_z
La1 La 0.000 0.000 0.000
Be1 Be 0.000 0.000 0.500
In1 In 0.500 0.500 0.308
# M_tot = 0.6 μB per formula unit
# ΔH_f (0 K) = -0.11 eV/atom
# D(E_F) = 0.422 states/eV per atom

# TlZn2FeAs, single point on PBEsol structure, DFT meta-GGA SCAN
data_TlZn2FeAs
_symmetry_space_group_name_H-M 'P 4/m m m'
_symmetry_Int_Tables_number 123
_symmetry_space_group_name_Hall '-P 4 2'
_cell_length_a 4.647
_cell_length_b 4.647
_cell_length_c 5.698
_cell_angle_alpha 90.00
_cell_angle_beta 90.00
_cell_angle_gamma 90.00
loop_
_atom_site_label
_atom_site_type_symbol
_atom_site_fract_x
_atom_site_fract_y
_atom_site_fract_z
Tl1 Tl 0.000 0.000 0.000
Zn1 Zn 0.000 0.500 0.500
Fe1 Fe 0.500 0.500 0.000
As1 As 0.000 0.000 0.500
# M_tot = 3.2 μB per formula unit
# ΔH_f (0 K) = 0.89 eV/atom
# D(E_F) = 0.640 states/eV per atom

# LiCuSN2, single point on PBEsol structure, DFT meta-GGA SCAN
data_LiCuSN2
_symmetry_space_group_name_H-M 'P 4/m m m'
_symmetry_Int_Tables_number 123
_symmetry_space_group_name_Hall '-P 4 2'
_cell_length_a 3.449
_cell_length_b 3.449
_cell_length_c 4.759
_cell_angle_alpha 90.00
_cell_angle_beta 90.00
_cell_angle_gamma 90.00
loop_
_atom_site_label
_atom_site_type_symbol
_atom_site_fract_x
_atom_site_fract_y
_atom_site_fract_z
Li1 Li 0.000 0.000 0.000
Cu1 Cu 0.000 0.000 0.500
S1 S 0.500 0.500 0.500
N1 N 0.000 0.500 0.000
# Uncorrected formation energy = 1.726 eV/atom
# M_tot = 2.6 μB per formula unit
# D(E_F) = 0.507 states/eV per atom

# CrFe2P, single point on PBEsol structure, DFT meta-GGA SCAN
data_CrFe2P
_symmetry_space_group_name_H-M 'C 1 m 1'
_symmetry_Int_Tables_number 8
_cell_length_a 8.060
_cell_length_b 2.688
_cell_length_c 4.008
_cell_angle_alpha 90.00
_cell_angle_beta 106.84
_cell_angle_gamma 90.00
loop_
_symmetry_equiv_pos_as_xyz
'x,y,z'
'x,-y,z'
'x+1/2,y+1/2,z'
'x+1/2,-y+1/2,z'
loop_
_atom_site_label
_atom_site_type_symbol
_atom_site_fract_x
_atom_site_fract_y
_atom_site_fract_z
Cr1 Cr 0.000 0.000 0.000
Fe1 Fe 0.252 0.000 0.850
Fe2 Fe 0.476 0.000 0.479
P1 P 0.247 0.500 0.360
# M_tot = 1.0 μB per formula unit
# ΔH_f (0 K) = -0.03 eV/atom
# D(E_F) = 0.637 states/eV per atom